VASP calculation (GGA-PBE) on a relaxed structure of LiSN2F.

Properties
The energy above the most stable polymorph in this dataset is 1.503 eV/atom. As for the volume: 17.65 Å³/atom. Its symmetry is P4/mmm (123). The formation energy without anion corrections comes out at 1.77 eV/atom.

abc: 4.783 4.783 3.859
angles: 90.00 90.00 90.00
Element x y z (fractional)
Li1 0.000 0.000 0.000
S1 0.500 0.500 0.000
N1 0.000 0.500 0.500
N2 0.500 0.000 0.500
F1 0.500 0.500 0.500